Compound: LaTb3Ho4Se8
Source: the Alexandria database
Functional: GGA-PBE
Structure: relaxed

abc: 8.1994 8.2199 8.2011
angles: 119.93 119.99 90.00
With the nearest neighbours (Å) after each atom.
Atoms (fractional coordinates):
Ho 0.0000 0.0000 0.0000  6 Se 2.89
Ho 0.5000 0.0000 0.0000  6 Se 2.82-2.83
Ho 0.5000 0.0000 0.5000  6 Se 2.89
Ho 0.0000 0.0000 0.5000  6 Se 2.89
Se 0.2567 0.7595 0.5134  3 Ho 2.83-2.89, 2 Tb 2.92, 1 La 2.98
Se 0.7433 0.2405 0.4866  3 Ho 2.83-2.89, 2 Tb 2.92, 1 La 2.98
Se 0.2539 0.2404 0.9972  3 Ho 2.82-2.89, 2 Tb 2.92, 1 La 2.98
Se 0.2567 0.7596 0.0028  3 Ho 2.82-2.89, 2 Tb 2.92, 1 La 2.98
Se 0.2486 0.2458 0.4972  3 Ho 2.89, 3 Tb 2.92
Se 0.7433 0.2404 0.9972  3 Ho 2.82-2.89, 2 Tb 2.92, 1 La 2.98
Se 0.7514 0.7542 0.5028  3 Ho 2.89, 3 Tb 2.92
Se 0.7461 0.7596 0.0028  3 Ho 2.82-2.89, 2 Tb 2.92, 1 La 2.98
Tb 0.5000 0.5000 0.0000  6 Se 2.92
Tb 0.0000 0.5000 0.5000  6 Se 2.92
Tb 0.5000 0.5000 0.5000  6 Se 2.92
La 0.0000 0.5000 0.0000  6 Se 2.98

Results
- Calculated volume: 391.3 Å³/f.u.
- Formation energy from raw total energies: -1.767 eV per atom
- Total moment: 0.000 μB per formula unit

---

Compound: LaHoTe2Se
Source: the Alexandria database
Functional: GGA-PBE
Structure: relaxed

abc: 4.4191 4.4191 15.6924
angles: 90.00 90.00 90.00
With the nearest neighbours (Å) after each atom.
Atoms (fractional coordinates):
La 0.5000 0.0000 0.6316  4 Se 3.02, 4 Te 3.38
La 0.0000 0.5000 0.3684  4 Se 3.02, 4 Te 3.38
Se 0.5000 0.5000 0.5000  4 La 3.02, 4 Se 3.12
Se 0.0000 0.0000 0.5000  4 La 3.02, 4 Se 3.12
Te 0.0000 0.5000 0.7136  1 Ho 3.03, 4 La 3.38
Te 0.5000 0.0000 0.2864  1 Ho 3.03, 4 La 3.38
Te 0.0000 0.5000 0.1043  5 Ho 3.10-3.13
Te 0.5000 0.0000 0.8957  5 Ho 3.10-3.13
Ho 0.5000 0.0000 0.0933  6 Te 3.03-3.13
Ho 0.0000 0.5000 0.9067  6 Te 3.03-3.13

Results
- Calculated volume: 153.2 Å³/f.u.
- Formation energy from raw total energies: -1.483 eV per atom
- Total moment: 0.000 μB per formula unit

---

Compound: La3HoTh4Se8
Source: the Alexandria database
Functional: GGA-PBE
Structure: relaxed

abc: 8.3513 8.5501 8.3485
angles: 119.20 120.01 90.00
With the nearest neighbours (Å) after each atom.
Atoms (fractional coordinates):
Th 0.0000 0.0000 0.5000  6 Se 2.97-2.98
Th 0.5000 0.0000 0.0000  6 Se 3.06
Th 0.0000 0.0000 0.0000  6 Se 2.98
Th 0.5000 0.0000 0.5000  6 Se 2.97-2.98
Se 0.2440 0.7465 0.4881  1 Ho 2.92, 3 Th 2.98-3.06, 2 La 3.00
Se 0.2441 0.7466 0.0024  1 Ho 2.92, 3 Th 2.98-3.06, 2 La 3.00
Se 0.7560 0.2535 0.5119  1 Ho 2.92, 3 Th 2.98-3.06, 2 La 3.00
Se 0.2417 0.2534 0.9976  1 Ho 2.92, 3 Th 2.98-3.06, 2 La 3.00
Se 0.7583 0.7466 0.0024  1 Ho 2.92, 3 Th 2.98-3.06, 2 La 3.00
Se 0.7559 0.2534 0.9976  1 Ho 2.92, 3 Th 2.98-3.06, 2 La 3.00
Se 0.2490 0.2468 0.4980  3 Th 2.97-2.98, 3 La 3.00
Se 0.7510 0.7532 0.5020  3 Th 2.97-2.98, 3 La 3.00
La 0.5000 0.5000 0.0000  6 Se 3.00
La 0.5000 0.5000 0.5000  6 Se 3.00
La 0.0000 0.5000 0.5000  6 Se 3.00
Ho 0.0000 0.5000 0.0000  6 Se 2.92

Results
- Calculated volume: 426.5 Å³/f.u.
- Formation energy from raw total energies: -1.727 eV per atom
- Total moment: 0.000 μB per formula unit